(w)
## AcZn6Au2 (PBE)

Data for crystalline AcZn6Au2 at its relaxed geometry.

extended XYZ file:
```
18
Lattice="8.557 0.000 0.000 4.279 7.411 0.000 4.279 2.470 6.987" Properties=species:S:1:pos:R:3 pbc="T T T"
Au 4.279 4.940 0.873
Au 4.279 2.470 4.367
Au 2.139 1.235 0.873
Au 6.418 1.235 0.873
Zn 6.320 3.649 0.080
Zn 10.794 6.232 1.667
Zn 6.320 1.291 3.414
Zn 4.279 4.828 3.414
Zn 10.794 3.649 5.320
Zn 2.237 3.649 0.080
Zn 8.557 2.358 1.667
Zn 8.557 7.523 5.320
Zn 2.237 1.291 3.414
Zn 4.279 0.113 0.080
Zn 6.320 3.649 5.320
Zn 6.320 6.232 1.667
Ac 8.557 4.940 3.493
Ac 12.836 7.411 5.240
```

Summary:
The value obtained for the total magnetization is 0.000 μB per atom. Its mass density is 7.60 g cm⁻³. The space-group type is No. 227.

***

(x)
## AcZn6Au2 (PBE)

Data for crystalline AcZn6Au2 at its relaxed geometry.

extended XYZ file:
```
9
Lattice="-3.115 -2.983 -0.442 1.793 -2.344 3.176 -5.111 4.427 6.152" Properties=species:S:1:pos:R:3 pbc="T T T"
Ac 0.000 0.000 0.000
Au -4.987 1.083 6.573
Au -1.447 -1.983 2.313
Zn -5.031 1.517 3.960
Zn -0.741 0.247 3.559
Zn -2.556 2.214 3.076
Zn -3.195 -0.073 1.750
Zn -2.577 1.837 5.769
Zn -3.217 -0.450 4.443
```

Summary:
The value obtained for the total magnetization is 0.000 μB per atom. Its mass density is 9.79 g cm⁻³. The space-group type is No. 123.

***

Tell me which of them is the least stable. Sure, it is (w).

***

(w)
## AcZrAu (PBE)

Data for crystalline AcZrAu at its relaxed geometry.

extended XYZ file:
```
6
Lattice="4.707 0.000 0.000 0.000 4.707 0.000 0.000 0.000 7.672" Properties=species:S:1:pos:R:3 pbc="T T T"
Zr 0.000 0.000 3.836
Zr 2.354 2.354 3.836
Au 2.354 0.000 5.534
Au 0.000 2.354 2.138
Ac 0.000 2.354 6.638
Ac 2.354 0.000 1.035
```

Summary:
The value obtained for the total magnetization is 0.000 μB per atom. Its mass density is 10.06 g cm⁻³. The space-group type is No. 129.

***

(x)
## AcZrAu (PBE)

Data for crystalline AcZrAu at its relaxed geometry.

extended XYZ file:
```
3
Lattice="-2.031 -2.381 -1.843 2.820 -0.725 -2.171 1.430 -3.023 5.906" Properties=species:S:1:pos:R:3 pbc="T T T"
Zr 1.102 -2.763 2.355
Au 1.109 -3.344 -0.480
Ac 0.008 -0.021 0.018
```

Summary:
The value obtained for the total magnetization is 0.000 μB per atom. Its mass density is 10.32 g cm⁻³. The space-group type is No. 107.

***

Tell me which of them is the least stable. Sure, it is (x).

***

(w)
## AcZrAu2 (PBE)

Data for crystalline AcZrAu2 at its relaxed geometry.

extended XYZ file:
```
4
Lattice="4.785 0.000 0.000 2.393 4.144 0.000 2.393 1.381 5.441" Properties=species:S:1:pos:R:3 pbc="T T T"
Zr 0.000 0.000 0.000
Au 7.178 4.144 4.778
Au 2.393 1.381 0.663
Ac 4.785 2.763 2.720
```

Summary:
The value obtained for the total magnetization is 0.000 μB per atom. Its mass density is 10.96 g cm⁻³. The space-group type is No. 166.

***

(x)
## AcZrAu2 (PBE)

Data for crystalline AcZrAu2 at its relaxed geometry.

extended XYZ file:
```
4
Lattice="3.745 0.000 0.000 0.000 5.148 0.000 0.000 0.000 5.148" Properties=species:S:1:pos:R:3 pbc="T T T"
Au 0.000 2.574 0.000
Au 0.000 0.000 2.574
Zr 1.872 0.000 0.000
Ac 1.872 2.574 2.574
```

Summary:
The value obtained for the total magnetization is 0.201 μB per atom. Its mass density is 11.92 g cm⁻³. The space-group type is No. 123.

***

Tell me which of them is the least stable. Sure, it is (x).

***

(w)
## AcB (PBE)

Data for crystalline AcB at its relaxed geometry.

extended XYZ file:
```
8
Lattice="5.729 0.199 0.000 -0.648 5.695 0.000 0.000 0.000 6.155" Properties=species:S:1:pos:R:3 pbc="T T T"
B 2.896 2.641 5.460
B 2.184 3.254 2.383
B 2.896 2.641 3.772
B 2.184 3.254 0.695
Ac 4.785 3.719 1.539
Ac 0.296 2.175 4.616
Ac 2.108 0.613 1.539
Ac 2.972 5.281 4.616
```

Summary:
The value obtained for the total magnetization is 0.000 μB per atom. Its mass density is 7.83 g cm⁻³. The space-group type is No. 63.

***

(x)
## AcB (PBE)

Data for crystalline AcB at its relaxed geometry.

extended XYZ file:
```
4
Lattice="3.925 0.000 -0.199 0.000 3.354 0.000 -1.559 0.000 7.631" Properties=species:S:1:pos:R:3 pbc="T T T"
Ac 2.055 2.516 1.745
Ac 0.310 0.839 5.687
B 2.353 2.516 7.200
B 0.012 0.839 0.232
```

Summary:
The value obtained for the total magnetization is 0.000 μB per atom. Its mass density is 7.94 g cm⁻³. The space-group type is No. 11.

***

Tell me which of them is the least stable. Sure, it is (w).

***

(w)
## AcB2C (PBE)

Data for crystalline AcB2C at its relaxed geometry.

extended XYZ file:
```
12
Lattice="5.547 0.210 1.447 1.169 5.427 1.447 0.250 0.210 5.727" Properties=species:S:1:pos:R:3 pbc="T T T"
B 2.003 2.923 5.507
B 2.260 4.381 4.311
B 3.227 1.466 5.507
B 4.964 2.923 3.115
B 3.740 4.381 3.115
B 4.707 1.466 4.311
Ac 0.000 0.000 0.000
Ac 2.181 1.830 2.699
Ac 4.786 4.017 5.923
C 2.774 0.105 0.724
C 0.585 2.713 0.724
C 0.125 0.105 2.864
```

Summary:
The value obtained for the total magnetization is 0.000 μB per atom. Its mass density is 7.74 g cm⁻³. The space-group type is No. 166.

***

(x)
## AcB2C (PBE)

Data for crystalline AcB2C at its relaxed geometry.

extended XYZ file:
```
8
Lattice="-2.566 -3.351 0.006 1.090 -2.307 3.379 -6.634 2.430 4.532" Properties=species:S:1:pos:R:3 pbc="T T T"
B -5.161 -0.875 3.009
B -2.950 -2.355 4.908
B -5.532 -2.298 3.860
B -2.579 -0.931 4.056
C -4.427 -3.027 4.807
C -3.683 -0.202 3.110
Ac -3.614 -2.915 1.968
Ac -4.496 -0.314 5.948
```

Summary:
The value obtained for the total magnetization is 0.000 μB per atom. Its mass density is 6.21 g cm⁻³. The space-group type is No. 15.

***

Tell me which of them is the least stable. Sure, it is (x).

***

(w)
## AcB3C3 (PBE)

Data for crystalline AcB3C3 at its relaxed geometry.

extended XYZ file:
```
14
Lattice="-0.469 -2.310 1.706 7.708 -0.708 1.159 -4.292 4.431 4.818" Properties=species:S:1:pos:R:3 pbc="T T T"
B 4.079 0.759 5.870
B -1.132 0.654 1.815
B 2.227 2.208 4.841
B -2.322 3.559 5.420
B 5.270 -2.146 2.264
B 0.721 -0.795 2.843
C -2.709 2.702 4.154
C 1.833 -1.597 2.064
C 0.367 0.709 2.301
C 1.115 3.009 5.621
C 5.657 -1.290 3.530
C 2.581 0.704 5.383
Ac 3.591 0.427 2.806
Ac -0.643 0.985 4.878
```

Summary:
The value obtained for the total magnetization is 0.000 μB per atom. Its mass density is 6.36 g cm⁻³. The space-group type is No. 176.

***

(x)
## AcB3C3 (PBE)

Data for crystalline AcB3C3 at its relaxed geometry.

extended XYZ file:
```
14
Lattice="5.551 0.000 0.000 0.000 5.648 -3.261 0.000 0.000 6.522" Properties=species:S:1:pos:R:3 pbc="T T T"
C 4.163 2.416 2.337
C 4.163 2.416 4.185
C 1.388 3.232 -0.924
C 1.388 4.833 0.000
C 1.388 3.232 0.924
C 4.163 0.815 3.261
B 4.163 3.557 3.261
B 1.388 4.603 1.450
B 1.388 2.091 0.000
B 4.163 1.045 1.811
B 4.163 1.045 4.711
B 1.388 4.603 -1.450
Ac 4.163 3.765 0.000
Ac 1.388 1.883 3.261
```

Summary:
The value obtained for the total magnetization is 0.000 μB per atom. Its mass density is 4.80 g cm⁻³. The space-group type is No. 194.

***

Tell me which of them is the least stable. Sure, it is (x).

***

(w)
## AcCoB (PBE)

Data for crystalline AcCoB at its relaxed geometry.

extended XYZ file:
```
12
Lattice="-5.323 12.526 -12.430 -4.382 0.444 2.324 -0.923 1.972 2.382" Properties=species:S:1:pos:R:3 pbc="T T T"
Co -8.791 10.757 -5.657
Co -3.935 4.189 -0.689
Co -6.693 10.753 -7.035
Co -1.836 4.185 -2.067
Ac -6.118 9.319 -4.615
Ac -9.818 13.091 -6.976
Ac -4.509 5.623 -3.109
Ac -0.809 1.850 -0.748
B -3.414 7.882 -4.570
B -7.213 7.059 -3.154
B -2.481 0.858 1.618
B -8.146 14.083 -9.342
```

Summary:
The value obtained for the total magnetization is 0.437 μB per atom. Its mass density is 8.76 g cm⁻³. The space-group type is No. 14.

***

(x)
## AcCoB (PBE)

Data for crystalline AcCoB at its relaxed geometry.

extended XYZ file:
```
6
Lattice="3.657 -0.176 0.042 0.175 3.657 0.042 -0.114 -0.104 8.762" Properties=species:S:1:pos:R:3 pbc="T T T"
Co 1.193 3.018 8.107
Co 2.934 1.101 8.107
B 1.116 1.199 7.204
B 3.125 3.024 0.248
Ac 3.052 2.958 5.615
Ac 1.190 1.265 1.836
```

Summary:
The value obtained for the total magnetization is 0.000 μB per atom. Its mass density is 8.39 g cm⁻³. The space-group type is No. 12.

***

Tell me which of them is the least stable. Sure, it is (w).

***

(w)
## AcB2Ir3 (PBE)

Data for crystalline AcB2Ir3 at its relaxed geometry.

extended XYZ file:
```
18
Lattice="-3.084 -0.690 -1.777 -2.181 -6.472 6.301 -2.696 8.804 1.258" Properties=species:S:1:pos:R:3 pbc="T T T"
B -5.135 2.739 4.150
B -2.919 1.679 0.715
B -3.816 -4.040 4.496
B -5.042 -0.039 5.067
B -4.144 5.681 1.286
B -2.825 -1.098 1.632
Ir -0.617 -1.831 1.783
Ir -0.763 2.491 0.356
Ir -1.564 -4.641 4.518
Ir -3.980 0.820 2.891
Ir -2.632 -3.581 2.262
Ir -2.890 4.057 -0.259
Ir -1.380 0.660 2.139
Ir -1.933 6.313 0.902
Ir -3.497 1.672 5.420
Ac -1.542 -0.345 -0.888
Ac -2.524 3.712 2.939
Ac -2.353 -1.380 4.620
```

Summary:
The value obtained for the total magnetization is 0.000 μB per atom. Its mass density is 15.17 g cm⁻³. The space-group type is No. 191.

***

(x)
## AcB2Ir3 (PBE)

Data for crystalline AcB2Ir3 at its relaxed geometry.

extended XYZ file:
```
12
Lattice="3.858 0.000 0.000 -1.929 7.592 -0.001 0.000 -3.442 6.744" Properties=species:S:1:pos:R:3 pbc="T T T"
Ir 0.000 5.005 2.077
Ir 1.929 -0.855 4.666
Ir 1.929 1.220 2.960
Ir 0.000 -0.683 2.463
Ir 1.929 4.833 4.280
Ir 0.000 2.930 3.782
B 0.000 4.631 5.159
B 1.929 -0.481 1.583
B 1.929 3.371 2.745
B 0.000 0.779 3.998
Ac 1.929 2.095 6.295
Ac 0.000 2.055 0.447
```

Summary:
The value obtained for the total magnetization is 0.000 μB per atom. Its mass density is 13.87 g cm⁻³. The space-group type is No. 12.

***

Tell me which of them is the least stable. Sure, it is (w).